1.
! ScP2RuO | the Alexandria database | GGA-PBEsol | relaxed; values from VASP
&SYSTEM
  ibrav = 0, nat = 5, ntyp = 4
/
ATOMIC_SPECIES
Sc 44.96 Sc.upf
P 30.97 P.upf
Ru 101.07 Ru.upf
O 16.00 O.upf
ATOMIC_POSITIONS crystal
Sc 0.0000 0.0000 0.0000
P 0.0000 0.5000 0.5000
P 0.5000 0.0000 0.5000
Ru 0.5000 0.5000 0.5000
O 0.5000 0.5000 0.0000
CELL_PARAMETERS angstrom
4.7475 0.0000 0.0000
0.0000 4.7475 0.0000
0.0000 0.0000 3.6019
! DFT total energy = -7.135 eV per atom
! total magnetization = 0.0 μB per cell
! V = 16.24 Å³ per atom
! crystal system = tetragonal
! formation energy from raw total energies = -0.4129 eV/atom

2.
! PRuSeO2 | the Alexandria database | GGA-PBEsol | relaxed; values from VASP
&SYSTEM
  ibrav = 0, nat = 5, ntyp = 4
/
ATOMIC_SPECIES
P 30.97 P.upf
Ru 101.07 Ru.upf
Se 78.96 Se.upf
O 16.00 O.upf
ATOMIC_POSITIONS crystal
P 0.0000 0.0000 0.0000
Ru 0.0000 0.0000 0.5000
Se 0.5000 0.5000 0.0000
O 0.0000 0.5000 0.5000
O 0.5000 0.0000 0.5000
CELL_PARAMETERS angstrom
3.6604 0.0000 0.0000
0.0000 3.6604 0.0000
0.0000 0.0000 5.3254
! DFT total energy = -6.452 eV per atom
! total magnetization = 0.0 μB per cell
! V = 14.27 Å³ per atom
! polymorph energy (0 for the lowest one) = 0 meV per atom
! crystal system = tetragonal
! formation energy from raw total energies = -0.3891 eV/atom

3.
! PRuSeO2 | the Alexandria database | GGA-PBEsol | relaxed; values from VASP
&SYSTEM
  ibrav = 0, nat = 5, ntyp = 4
/
ATOMIC_SPECIES
P 30.97 P.upf
Ru 101.07 Ru.upf
Se 78.96 Se.upf
O 16.00 O.upf
ATOMIC_POSITIONS crystal
P 0.0000 0.0000 0.0000
Ru 0.5000 0.5000 0.0000
Se 0.0000 0.0000 0.5000
O 0.0000 0.5000 0.5000
O 0.5000 0.0000 0.5000
CELL_PARAMETERS angstrom
3.6155 0.0000 0.0000
0.0000 3.6155 0.0000
0.0000 0.0000 5.2813
! DFT total energy = -5.566 eV per atom
! total magnetization = 2.1 μB per cell
! V = 13.81 Å³ per atom
! polymorph energy (0 for the lowest one) = 886 meV per atom
! crystal system = tetragonal
! formation energy from raw total energies = 0.4969 eV/atom

4.
! SiP3RuO11 | the Alexandria database | GGA-PBEsol | relaxed; values from VASP
&SYSTEM
  ibrav = 0, nat = 64, ntyp = 4
/
ATOMIC_SPECIES
Si 28.09 Si.upf
P 30.97 P.upf
Ru 101.07 Ru.upf
O 16.00 O.upf
ATOMIC_POSITIONS crystal
Si 0.0402 0.0402 0.0402
Si 0.4598 0.4598 0.4598
Si 0.5402 0.5402 0.5402
Si 0.9598 0.9598 0.9598
P 0.0082 0.7108 0.4212
P 0.0788 0.7892 0.4918
P 0.2108 0.5082 0.9212
P 0.2892 0.5788 0.9918
P 0.4212 0.0082 0.7108
P 0.4918 0.0788 0.7892
P 0.5082 0.9212 0.2108
P 0.5788 0.9918 0.2892
P 0.7108 0.4212 0.0082
P 0.7892 0.4918 0.0788
P 0.9212 0.2108 0.5082
P 0.9918 0.2892 0.5788
Ru 0.1585 0.1585 0.1585
Ru 0.3415 0.3415 0.3415
Ru 0.6585 0.6585 0.6585
Ru 0.8415 0.8415 0.8415
O 0.0000 0.0000 0.0000
O 0.0075 0.6521 0.9596
O 0.0396 0.7191 0.6761
O 0.0404 0.9925 0.3479
O 0.0426 0.2500 0.4574
O 0.0988 0.8492 0.2123
O 0.1508 0.7877 0.9012
O 0.1521 0.5075 0.4596
O 0.1761 0.2191 0.5396
O 0.2123 0.0988 0.8492
O 0.2191 0.5396 0.1761
O 0.2500 0.4574 0.0426
O 0.2809 0.3239 0.9604
O 0.2877 0.6508 0.4012
O 0.3239 0.9604 0.2809
O 0.3479 0.0404 0.9925
O 0.3492 0.5988 0.7123
O 0.4012 0.2877 0.6508
O 0.4574 0.0426 0.2500
O 0.4596 0.1521 0.5075
O 0.4604 0.8239 0.7809
O 0.4925 0.5404 0.8479
O 0.5000 0.5000 0.5000
O 0.5075 0.4596 0.1521
O 0.5396 0.1761 0.2191
O 0.5404 0.8479 0.4925
O 0.5426 0.9574 0.7500
O 0.5988 0.7123 0.3492
O 0.6508 0.4012 0.2877
O 0.6521 0.9596 0.0075
O 0.6761 0.0396 0.7191
O 0.7123 0.3492 0.5988
O 0.7191 0.6761 0.0396
O 0.7500 0.5426 0.9574
O 0.7809 0.4604 0.8239
O 0.7877 0.9012 0.1508
O 0.8239 0.7809 0.4604
O 0.8479 0.4925 0.5404
O 0.8492 0.2123 0.0988
O 0.9012 0.1508 0.7877
O 0.9574 0.7500 0.5426
O 0.9596 0.0075 0.6521
O 0.9604 0.2809 0.3239
O 0.9925 0.3479 0.0404
CELL_PARAMETERS angstrom
4.1456 2.3935 13.1222
-4.1456 2.3935 13.1222
0.0000 -4.7869 13.1222
! DFT total energy = -7.703 eV per atom
! total magnetization = 4.0 μB per cell
! V = 12.21 Å³ per atom
! crystal system = trigonal
! formation energy from raw total energies = -2.0132 eV/atom

5.
! TcP2RuO | the Alexandria database | GGA-PBEsol | relaxed; values from VASP
&SYSTEM
  ibrav = 0, nat = 5, ntyp = 4
/
ATOMIC_SPECIES
Tc 98.00 Tc.upf
P 30.97 P.upf
Ru 101.07 Ru.upf
O 16.00 O.upf
ATOMIC_POSITIONS crystal
Tc 0.0000 0.0000 0.0000
P 0.0000 0.5000 0.5000
P 0.5000 0.0000 0.5000
Ru 0.5000 0.5000 0.5000
O 0.5000 0.5000 0.0000
CELL_PARAMETERS angstrom
4.6637 0.0000 0.0000
0.0000 4.6637 0.0000
0.0000 0.0000 3.5385
! DFT total energy = -7.162 eV per atom
! total magnetization = 2.5 μB per cell
! V = 15.39 Å³ per atom
! crystal system = tetragonal
! formation energy from raw total energies = 0.4926 eV/atom

6.
! PRuWO2 | the Alexandria database | GGA-PBEsol | relaxed; values from VASP
&SYSTEM
  ibrav = 0, nat = 5, ntyp = 4
/
ATOMIC_SPECIES
P 30.97 P.upf
Ru 101.07 Ru.upf
W 183.84 W.upf
O 16.00 O.upf
ATOMIC_POSITIONS crystal
P 0.0000 0.0000 0.0000
Ru 0.5000 0.5000 0.0000
W 0.0000 0.0000 0.5000
O 0.0000 0.5000 0.5000
O 0.5000 0.0000 0.5000
CELL_PARAMETERS angstrom
3.7222 0.0000 0.0000
0.0000 3.7222 0.0000
0.0000 0.0000 5.1829
! DFT total energy = -8.509 eV per atom
! total magnetization = 2.3 μB per cell
! V = 14.36 Å³ per atom
! crystal system = tetragonal
! formation energy from raw total energies = -0.4549 eV/atom

7.
! P4SO7 | the Alexandria database | GGA-PBEsol | relaxed; values from VASP
&SYSTEM
  ibrav = 0, nat = 24, ntyp = 3
/
ATOMIC_SPECIES
P 30.97 P.upf
S 32.06 S.upf
O 16.00 O.upf
ATOMIC_POSITIONS crystal
P 0.1294 0.2897 0.2723
P 0.2057 0.0191 0.8652
P 0.2371 0.7527 0.6104
P 0.2747 0.6390 0.9388
P 0.7253 0.3610 0.0612
P 0.7629 0.2473 0.3896
P 0.7943 0.9809 0.1348
P 0.8706 0.7103 0.7277
S 0.3366 0.7263 0.4244
S 0.6634 0.2737 0.5756
O 0.0069 0.2998 0.4204
O 0.0219 0.6029 0.8645
O 0.0328 0.0612 0.1923
O 0.2578 0.2193 0.9314
O 0.2797 0.9689 0.7036
O 0.3053 0.8766 0.9872
O 0.3342 0.6362 0.7593
O 0.6658 0.3638 0.2407
O 0.6947 0.1234 0.0128
O 0.7203 0.0311 0.2964
O 0.7422 0.7807 0.0686
O 0.9672 0.9388 0.8077
O 0.9781 0.3971 0.1355
O 0.9931 0.7002 0.5796
CELL_PARAMETERS angstrom
6.8227 0.0000 0.0000
-0.8458 7.1028 0.0000
-2.2839 -0.9564 8.1233
! DFT total energy = -6.955 eV per atom
! total magnetization = 0.0 μB per cell
! V = 16.40 Å³ per atom
! crystal system = triclinic
! formation energy from raw total energies = -1.5966 eV/atom

8.
! P2SO3 | the Alexandria database | GGA-PBEsol | relaxed; values from VASP
&SYSTEM
  ibrav = 0, nat = 48, ntyp = 3
/
ATOMIC_SPECIES
P 30.97 P.upf
S 32.06 S.upf
O 16.00 O.upf
ATOMIC_POSITIONS crystal
P 0.1310 0.2312 0.0700
P 0.1310 0.2688 0.5700
P 0.2042 0.0060 0.8637
P 0.2042 0.4940 0.3637
P 0.3261 0.5466 0.5886
P 0.3261 0.9534 0.0886
P 0.3555 0.1595 0.4647
P 0.3555 0.3405 0.9647
P 0.6445 0.6595 0.0353
P 0.6445 0.8405 0.5353
P 0.6739 0.0466 0.9114
P 0.6739 0.4534 0.4114
P 0.7958 0.5060 0.6363
P 0.7958 0.9940 0.1363
P 0.8690 0.7312 0.4300
P 0.8690 0.7688 0.9300
S 0.0021 0.1633 0.6539
S 0.0021 0.3367 0.1539
S 0.4040 0.7357 0.6894
S 0.4040 0.7643 0.1894
S 0.5960 0.2357 0.8106
S 0.5960 0.2643 0.3106
S 0.9979 0.6633 0.8461
S 0.9979 0.8367 0.3461
O 0.1025 0.1152 0.9499
O 0.1025 0.3848 0.4499
O 0.2083 0.0587 0.1418
O 0.2083 0.4413 0.6418
O 0.2304 0.1047 0.5361
O 0.2304 0.3953 0.0361
O 0.2771 0.6343 0.4666
O 0.2771 0.8657 0.9666
O 0.2977 0.2021 0.8580
O 0.2977 0.2979 0.3580
O 0.4038 0.1495 0.0526
O 0.4038 0.3505 0.5526
O 0.5962 0.6495 0.4474
O 0.5962 0.8505 0.9474
O 0.7023 0.7021 0.6420
O 0.7023 0.7979 0.1420
O 0.7229 0.1343 0.0334
O 0.7229 0.3657 0.5334
O 0.7696 0.6047 0.9639
O 0.7696 0.8953 0.4639
O 0.7917 0.5587 0.3582
O 0.7917 0.9413 0.8582
O 0.8975 0.6152 0.5501
O 0.8975 0.8848 0.0501
CELL_PARAMETERS angstrom
11.3008 0.0000 0.0000
0.0000 6.5028 0.0000
-0.2128 0.0000 11.4764
! DFT total energy = -6.672 eV per atom
! total magnetization = 0.0 μB per cell
! V = 17.57 Å³ per atom
! crystal system = monoclinic
! formation energy from raw total energies = -1.3861 eV/atom

9.
! P4S3O6 | the Alexandria database | GGA-PBEsol | relaxed; values from VASP
&SYSTEM
  ibrav = 0, nat = 52, ntyp = 3
/
ATOMIC_SPECIES
P 30.97 P.upf
S 32.06 S.upf
O 16.00 O.upf
ATOMIC_POSITIONS crystal
P 0.1357 0.0500 0.1570
P 0.1357 0.4500 0.6570
P 0.1820 0.0455 0.8739
P 0.1820 0.4545 0.3739
P 0.2547 0.7090 0.5634
P 0.2547 0.7910 0.0634
P 0.3485 0.1019 0.0982
P 0.3485 0.3981 0.5982
P 0.6515 0.6019 0.4018
P 0.6515 0.8981 0.9018
P 0.7453 0.2090 0.9366
P 0.7453 0.2910 0.4366
P 0.8180 0.5455 0.6261
P 0.8180 0.9545 0.1261
P 0.8643 0.5500 0.3430
P 0.8643 0.9500 0.8430
S 0.0365 0.1070 0.2765
S 0.0365 0.3930 0.7765
S 0.2827 0.5720 0.0813
S 0.2827 0.9280 0.5813
S 0.4723 0.2130 0.1550
S 0.4723 0.2870 0.6550
S 0.5277 0.7130 0.3450
S 0.5277 0.7870 0.8450
S 0.7173 0.0720 0.4187
S 0.7173 0.4280 0.9187
S 0.9635 0.6070 0.2235
S 0.9635 0.8930 0.7235
O 0.1053 0.0856 0.9982
O 0.1053 0.4144 0.4982
O 0.1676 0.6374 0.6566
O 0.1676 0.8626 0.1566
O 0.2113 0.6443 0.4150
O 0.2113 0.8557 0.9150
O 0.2497 0.1353 0.1877
O 0.2497 0.3647 0.6877
O 0.2933 0.1304 0.9456
O 0.2933 0.3696 0.4456
O 0.3543 0.5920 0.6061
O 0.3543 0.9080 0.1061
O 0.6457 0.0920 0.8939
O 0.6457 0.4080 0.3939
O 0.7067 0.6304 0.5544
O 0.7067 0.8696 0.0544
O 0.7503 0.6353 0.3123
O 0.7503 0.8647 0.8123
O 0.7887 0.1443 0.0850
O 0.7887 0.3557 0.5850
O 0.8324 0.1374 0.8434
O 0.8324 0.3626 0.3434
O 0.8947 0.5856 0.5018
O 0.8947 0.9144 0.0018
CELL_PARAMETERS angstrom
12.7589 0.0000 0.0000
0.0000 8.3960 0.0000
-1.0820 0.0000 9.8244
! DFT total energy = -6.526 eV per atom
! total magnetization = 0.0 μB per cell
! V = 20.24 Å³ per atom
! crystal system = monoclinic
! formation energy from raw total energies = -1.3097 eV/atom

10.
! P4SO6 | the Alexandria database | GGA-PBEsol | relaxed; values from VASP
&SYSTEM
  ibrav = 0, nat = 44, ntyp = 3
/
ATOMIC_SPECIES
P 30.97 P.upf
S 32.06 S.upf
O 16.00 O.upf
ATOMIC_POSITIONS crystal
P 0.0309 0.0512 0.2358
P 0.0309 0.4488 0.7358
P 0.2929 0.6022 0.6115
P 0.2929 0.8978 0.1115
P 0.3092 0.2135 0.1590
P 0.3092 0.2865 0.6590
P 0.3262 0.0156 0.4085
P 0.3262 0.4844 0.9085
P 0.6738 0.5156 0.0915
P 0.6738 0.9844 0.5915
P 0.6908 0.7135 0.3410
P 0.6908 0.7865 0.8410
P 0.7071 0.1022 0.8885
P 0.7071 0.3978 0.3885
P 0.9691 0.5512 0.2642
P 0.9691 0.9488 0.7642
S 0.1946 0.5601 0.2562
S 0.1946 0.9399 0.7562
S 0.8054 0.0601 0.2438
S 0.8054 0.4399 0.7438
O 0.0974 0.5737 0.6360
O 0.0974 0.9263 0.1360
O 0.1116 0.1940 0.1750
O 0.1116 0.3060 0.6750
O 0.1262 0.0265 0.3874
O 0.1262 0.4735 0.8874
O 0.3452 0.0643 0.0708
O 0.3452 0.4357 0.5708
O 0.3590 0.6042 0.7828
O 0.3590 0.8958 0.2828
O 0.3722 0.1660 0.3236
O 0.3722 0.3340 0.8236
O 0.6278 0.6660 0.1764
O 0.6278 0.8340 0.6764
O 0.6410 0.1042 0.7172
O 0.6410 0.3958 0.2172
O 0.6548 0.5643 0.4292
O 0.6548 0.9357 0.9292
O 0.8738 0.5265 0.1126
O 0.8738 0.9735 0.6126
O 0.8884 0.6940 0.3250
O 0.8884 0.8060 0.8250
O 0.9026 0.0737 0.8640
O 0.9026 0.4263 0.3640
CELL_PARAMETERS angstrom
8.3873 0.0000 0.0000
0.0000 9.3036 0.0000
-0.4528 0.0000 9.3015
! DFT total energy = -6.826 eV per atom
! total magnetization = 0.0 μB per cell
! V = 16.50 Å³ per atom
! crystal system = monoclinic
! formation energy from raw total energies = -1.4579 eV/atom

11.
! ScP2SO | the Alexandria database | GGA-PBEsol | relaxed; values from VASP
&SYSTEM
  ibrav = 0, nat = 5, ntyp = 4
/
ATOMIC_SPECIES
Sc 44.96 Sc.upf
P 30.97 P.upf
S 32.06 S.upf
O 16.00 O.upf
ATOMIC_POSITIONS crystal
Sc 0.0000 0.0000 0.0000
P 0.0000 0.5000 0.0000
P 0.5000 0.0000 0.0000
S 0.5000 0.5000 0.5000
O 0.0000 0.0000 0.5000
CELL_PARAMETERS angstrom
5.0294 0.0000 0.0000
0.0000 5.0294 0.0000
0.0000 0.0000 3.7884
! DFT total energy = -5.546 eV per atom
! total magnetization = 0.0 μB per cell
! V = 19.17 Å³ per atom
! crystal system = tetragonal
! formation energy from raw total energies = 0.0186 eV/atom

12.
! SiPS2O | the Alexandria database | GGA-PBEsol | relaxed; values from VASP
&SYSTEM
  ibrav = 0, nat = 5, ntyp = 4
/
ATOMIC_SPECIES
Si 28.09 Si.upf
P 30.97 P.upf
S 32.06 S.upf
O 16.00 O.upf
ATOMIC_POSITIONS crystal
Si 0.0000 0.0000 0.0000
P 0.5000 0.5000 0.0000
S 0.0000 0.5000 0.5000
S 0.5000 0.0000 0.5000
O 0.5000 0.5000 0.5000
CELL_PARAMETERS angstrom
4.2919 0.0000 0.0000
0.0000 4.2919 0.0000
0.0000 0.0000 3.9512
! DFT total energy = -4.460 eV per atom
! total magnetization = 0.0 μB per cell
! V = 14.56 Å³ per atom
! crystal system = tetragonal
! formation energy from raw total energies = 0.6514 eV/atom